a) Below is a relaxed structure of CaAc2Te3, with properties calculated at the PBE level.

Results
Size of the total moment, Bohr magnetons per cell: 0.0
Density, g/cm³: 6.70
Crystal system: hexagonal
DOS at the Fermi energy, states/eV/cell: 5.8

a = 4.5609 Å, b = 4.5609 Å, c = 24.1380 Å
α = 90.00°, β = 90.00°, γ = 120.00°
Fractional positions:
1 Ca 0.0000 0.0000 0.2500
2 Ca 0.0000 0.0000 0.7500
3 Ac 0.3333 0.6667 0.0834
4 Ac 0.3333 0.6667 0.4166
5 Ac 0.6667 0.3333 0.5834
6 Ac 0.6667 0.3333 0.9166
7 Te 0.0000 0.0000 0.0000
8 Te 0.0000 0.0000 0.5000
9 Te 0.3333 0.6667 0.6707
10 Te 0.3333 0.6667 0.8293
11 Te 0.6667 0.3333 0.1707
12 Te 0.6667 0.3333 0.3293



b) Below is a relaxed structure of CaAc2Te3, with properties calculated at the PBE level.

Results
Size of the total moment, Bohr magnetons per cell: 0.0
Density, g/cm³: 6.59
Crystal system: orthorhombic
DOS at the Fermi energy, states/eV/cell: 3.8

a = 9.6683 Å, b = 9.6683 Å, c = 9.6683 Å
α = 154.06°, β = 145.91°, γ = 43.33°
Fractional positions:
1 Ca 0.0000 0.0000 0.0000
2 Ac 0.3572 0.3572 0.0000
3 Ac 0.6428 0.6428 0.0000
4 Te 0.1722 0.1722 0.0000
5 Te 0.5000 0.0000 0.5000
6 Te 0.8278 0.8278 0.0000



Of them, b) has the lowest stability.



a) Below is a relaxed structure of CaAc2Te4, with properties calculated at the PBE level.

Results
Size of the total moment, Bohr magnetons per cell: 0.0
Density, g/cm³: 5.91
Crystal system: orthorhombic

a = 8.0643 Å, b = 8.0643 Å, c = 15.8321 Å
α = 90.00°, β = 90.00°, γ = 146.78°
Fractional positions:
1 Ca 0.1178 0.8822 0.7500
2 Ca 0.8822 0.1178 0.2500
3 Ac 0.3658 0.6342 0.5750
4 Ac 0.3658 0.6342 0.9250
5 Ac 0.6342 0.3658 0.0750
6 Ac 0.6342 0.3658 0.4250
7 Te 0.0000 0.0000 0.0000
8 Te 0.0000 0.0000 0.5000
9 Te 0.2794 0.7206 0.1235
10 Te 0.2794 0.7206 0.3765
11 Te 0.4781 0.5219 0.7500
12 Te 0.5219 0.4781 0.2500
13 Te 0.7206 0.2794 0.6235
14 Te 0.7206 0.2794 0.8765



b) Below is a relaxed structure of CaAc2Te4, with properties calculated at the PBE level.

Results
Size of the total moment, Bohr magnetons per cell: 0.0
Density, g/cm³: 6.86
Crystal system: tetragonal
DOS at the Fermi energy, states/eV/cell: 0.0

a = 8.5796 Å, b = 8.5796 Å, c = 8.5796 Å
α = 109.98°, β = 109.98°, γ = 108.45°
Fractional positions:
1 Ca 0.0000 0.0000 0.0000
2 Ca 0.7500 0.2500 0.5000
3 Ac 0.2498 0.6250 0.1248
4 Ac 0.3750 0.4998 0.6248
5 Ac 0.5002 0.1250 0.8752
6 Ac 0.8750 0.7502 0.3752
7 Te 0.1178 0.2251 0.7448
8 Te 0.1230 0.7303 0.7552
9 Te 0.2697 0.0249 0.3927
10 Te 0.4803 0.3730 0.2552
11 Te 0.6270 0.8822 0.1073
12 Te 0.6322 0.8770 0.6073
13 Te 0.7749 0.5197 0.8927
14 Te 0.9751 0.3678 0.2448



Of them, a) has the lowest stability.



a) Below is a relaxed structure of CaAc3Te4, with properties calculated at the PBE level.

Results
Size of the total moment, Bohr magnetons per cell: 0.0
Density, g/cm³: 7.03
Crystal system: orthorhombic
DOS at the Fermi energy, states/eV/cell: 4.0

a = 8.1323 Å, b = 8.1323 Å, c = 4.6556 Å
α = 90.00°, β = 90.00°, γ = 109.07°
Fractional positions:
1 Ca 0.0000 0.0000 0.0000
2 Ac 0.0000 0.5000 0.5000
3 Ac 0.5000 0.0000 0.5000
4 Ac 0.5000 0.5000 0.0000
5 Te 0.2374 0.2374 0.5000
6 Te 0.2426 0.7574 0.0000
7 Te 0.7574 0.2426 0.0000
8 Te 0.7626 0.7626 0.5000



b) Below is a relaxed structure of CaAc3Te4, with properties calculated at the PBE level.

Results
Size of the total moment, Bohr magnetons per cell: 0.0
Density, g/cm³: 6.99
Crystal system: hexagonal
DOS at the Fermi energy, states/eV/cell: 9.0

a = 4.5895 Å, b = 4.5895 Å, c = 32.0819 Å
α = 90.00°, β = 90.00°, γ = 120.00°
Fractional positions:
1 Ca 0.3333 0.6667 0.2500
2 Ca 0.6667 0.3333 0.7500
3 Ac 0.0000 0.0000 0.0000
4 Ac 0.0000 0.0000 0.5000
5 Ac 0.3333 0.6667 0.6257
6 Ac 0.3333 0.6667 0.8743
7 Ac 0.6667 0.3333 0.1257
8 Ac 0.6667 0.3333 0.3743
9 Te 0.0000 0.0000 0.1906
10 Te 0.0000 0.0000 0.3094
11 Te 0.0000 0.0000 0.6906
12 Te 0.0000 0.0000 0.8094
13 Te 0.3333 0.6667 0.0633
14 Te 0.3333 0.6667 0.4367
15 Te 0.6667 0.3333 0.5633
16 Te 0.6667 0.3333 0.9367



Of them, b) has the lowest stability.



a) Below is a relaxed structure of CaAcTh, with properties calculated at the PBE level.

Results
Size of the total moment, Bohr magnetons per cell: 0.0
Density, g/cm³: 7.06
Crystal system: tetragonal
DOS at the Fermi energy, states/eV/cell: 4.3

a = 8.7590 Å, b = 8.7590 Å, c = 8.7590 Å
α = 155.27°, β = 155.27°, γ = 35.25°
Fractional positions:
1 Ca 0.0000 0.0000 0.0000
2 Ac 0.6857 0.6857 0.0000
3 Th 0.3378 0.3378 0.0000



b) Below is a relaxed structure of CaAcTh, with properties calculated at the PBE level.

Results
Size of the total moment, Bohr magnetons per cell: 0.0
Density, g/cm³: 7.13
Crystal system: trigonal
DOS at the Fermi energy, states/eV/cell: 4.5

a = 3.7690 Å, b = 3.7690 Å, c = 9.4481 Å
α = 90.00°, β = 90.00°, γ = 120.00°
Fractional positions:
1 Ca 0.0000 0.0000 0.0000
2 Ac 0.3333 0.6667 0.6377
3 Th 0.6667 0.3333 0.3237



Of them, a) has the lowest stability.



a) Below is a relaxed structure of Ca2AcTl, with properties calculated at the PBE level.

Results
Size of the total moment, Bohr magnetons per cell: 0.0
Density, g/cm³: 5.68
Crystal system: monoclinic
DOS at the Fermi energy, states/eV/cell: 6.9

a = 5.1112 Å, b = 5.1262 Å, c = 11.6997 Å
α = 90.00°, β = 102.61°, γ = 90.00°
Fractional positions:
1 Ca 0.0657 0.2500 0.1324
2 Ca 0.4341 0.2500 0.8674
3 Ca 0.5659 0.7500 0.1326
4 Ca 0.9343 0.7500 0.8676
5 Ac 0.3020 0.7500 0.6028
6 Ac 0.6980 0.2500 0.3972
7 Tl 0.1561 0.7500 0.3140
8 Tl 0.8439 0.2500 0.6860



b) Below is a relaxed structure of Ca2AcTl, with properties calculated at the PBE level.

Results
Size of the total moment, Bohr magnetons per cell: 0.0
Density, g/cm³: 5.61
Crystal system: trigonal
DOS at the Fermi energy, states/eV/cell: 4.5

a = 11.6871 Å, b = 11.6871 Å, c = 11.6871 Å
α = 19.23°, β = 19.23°, γ = 19.23°
Fractional positions:
1 Ca 0.0000 0.0000 0.0000
2 Ca 0.1919 0.1919 0.1919
3 Ac 0.4302 0.4302 0.4302
4 Tl 0.5958 0.5958 0.5958



c) Below is a relaxed structure of Ca2AcTl, with properties calculated at the PBE level.

Results
Size of the total moment, Bohr magnetons per cell: 0.0
Density, g/cm³: 5.91
Crystal system: cubic
DOS at the Fermi energy, states/eV/cell: 5.6

a = 5.8809 Å, b = 5.8809 Å, c = 5.8809 Å
α = 60.00°, β = 60.00°, γ = 60.00°
Fractional positions:
1 Ca 0.2500 0.2500 0.2500
2 Ca 0.7500 0.7500 0.7500
3 Ac 0.0000 0.0000 0.0000
4 Tl 0.5000 0.5000 0.5000



Of them, c) has the lowest stability.



a) Below is a relaxed structure of Ca2AcTl, with properties calculated at the PBE level.

Results
Size of the total moment, Bohr magnetons per cell: 0.0
Density, g/cm³: 5.83
Crystal system: tetragonal
DOS at the Fermi energy, states/eV/cell: 2.9

a = 3.7950 Å, b = 3.7950 Å, c = 10.1086 Å
α = 90.00°, β = 90.00°, γ = 90.00°
Fractional positions:
1 Ca 0.0000 0.0000 0.2006
2 Ca 0.0000 0.0000 0.7994
3 Ac 0.5000 0.5000 0.5000
4 Tl 0.5000 0.5000 0.0000



b) Below is a relaxed structure of Ca2AcTl, with properties calculated at the PBE level.

Results
Size of the total moment, Bohr magnetons per cell: 0.0
Density, g/cm³: 5.92
Crystal system: tetragonal
DOS at the Fermi energy, states/eV/cell: 2.0

a = 5.1027 Å, b = 5.1027 Å, c = 5.5135 Å
α = 90.00°, β = 90.00°, γ = 90.00°
Fractional positions:
1 Ca 0.0000 0.5000 0.0000
2 Ca 0.5000 0.0000 0.0000
3 Ac 0.0000 0.0000 0.5000
4 Tl 0.5000 0.5000 0.5000



Of them, b) has the lowest stability.